This record from Alexandria via LeMat-Bulk describes a relaxed structure of Tc2PPb. The functional is PBEsol.

Calculated values
Its density of states at the Fermi level is 0.968 states/eV/atom. As for the calculated volume: 66 Å³/f.u. The calculated density is 11.0 g/cm³. The formation energy comes out at 0.1493 eV per atom. The value obtained for the energy relative to the lowest polymorph listed for this composition is 0.104 eV per atom. As for the space group: P4mm (99).

Cell and atoms, written as POSCAR:
```
Tc2PPb
1.0
-3.081 -0.465 0.788
-0.538 -1.318 -2.881
1.467 -5.737 2.351
P Tc Pb
1 2 1
direct
0.000 0.000 0.409
0.000 0.000 0.031
0.500 0.500 0.300
0.500 0.500 0.760
```